1.
Crystalline Ca2CdAgAu6 at its relaxed geometry, computed with GGA-PBE.

Cell: 7.296 7.296 7.296 Å, 60.00 60.00 90.00°
Atoms (fractional coordinates):
Au 0.249 0.751 0.000
Au 0.751 0.751 0.497
Au 0.751 0.249 0.000
Au 0.751 0.751 0.000
Au 0.249 0.249 0.503
Ca 0.750 0.250 0.500
Ca 0.250 0.750 0.500
Au 0.249 0.249 0.000
Ag 0.000 0.000 0.000
Cd 0.500 0.500 0.000

## Properties
Calculated formation energy, eV/atom: 0.01
E, eV for the cell shown: -27.3
D(E_F), states/eV per cell: 4.1

2.
Crystalline CaCd2AgAu4 at its relaxed geometry, computed with GGA-PBE.

Cell: 4.871 4.871 8.330 Å, 73.00 73.00 60.00°
Atoms (fractional coordinates):
Ca 0.000 0.000 0.000
Cd 0.749 0.749 0.754
Cd 0.251 0.251 0.246
Au 0.872 0.872 0.385
Ag 0.500 0.500 0.500
Au 0.379 0.379 0.862
Au 0.621 0.621 0.138
Au 0.128 0.128 0.615

## Properties
Calculated formation energy, eV/atom: -0.32
E, eV for the cell shown: -22.3
D(E_F), states/eV per cell: 2.5

3.
Crystalline CaCeAgAu at its relaxed geometry, computed with GGA-PBE.

Cell: 5.221 5.221 5.221 Å, 60.00 60.00 60.00°
Each line ends with the local moment (μB).
Atoms (fractional coordinates):
Ag 0.250 0.250 0.250  0.00
Au 0.750 0.750 0.750  0.00
Ca 0.500 0.500 0.500  0.00
Ce 0.000 0.000 0.000  0.85

## Properties
Calculated formation energy, eV/atom: -0.45
E, eV for the cell shown: -15.9
D(E_F), states/eV per cell: 7.7

4.
Crystalline CaAg2AuCl8 at its relaxed geometry, computed with GGA-PBE.

Cell: 7.125 6.401 7.627 Å, 89.99 90.00 95.20°
Each line ends with the local moment (μB).
Atoms (fractional coordinates):
Ca 0.000 0.000 0.500  0.00
Cl 0.644 0.721 0.000  0.07
Cl 0.133 0.792 0.218  0.02
Ag 0.500 0.500 0.244  0.07
Cl 0.133 0.792 0.782  0.02
Ag 0.500 0.500 0.756  0.07
Cl 0.867 0.208 0.218  0.02
Cl 0.356 0.279 0.000  0.07
Cl 0.671 0.705 0.500  0.03
Cl 0.867 0.208 0.782  0.02
Cl 0.329 0.295 0.500  0.03
Au 0.000 0.000 0.000  0.07

## Properties
E, eV for the cell shown: -35.4
D(E_F), states/eV per cell: 9.0

5.
Crystalline CsCa2AgAu at its relaxed geometry, computed with GGA-PBE.

Cell: 7.009 5.960 7.009 Å, 90.00 90.00 90.00°
Atoms (fractional coordinates):
Ag 0.500 0.500 0.500
Au 0.000 0.500 0.000
Ca 0.500 0.000 0.000
Ca 0.000 0.000 0.500
Cs 0.000 0.000 0.000

## Properties
Calculated formation energy, eV/atom: 1.05
E, eV for the cell shown: -5.7
D(E_F), states/eV per cell: 6.7

6.
Crystalline Ca2Cu3AgAu12 at its relaxed geometry, computed with GGA-PBE.

Cell: 8.095 8.095 8.095 Å, 63.55 63.55 63.55°
Atoms (fractional coordinates):
Cu 0.000 0.000 0.500
Au 0.857 0.392 0.857
Cu 0.000 0.500 0.000
Au 0.392 0.857 0.857
Au 0.635 0.635 0.114
Au 0.365 0.886 0.365
Au 0.143 0.143 0.608
Cu 0.500 0.000 0.000
Au 0.886 0.365 0.365
Au 0.635 0.114 0.635
Ca 0.394 0.394 0.394
Au 0.365 0.365 0.886
Au 0.143 0.608 0.143
Ca 0.606 0.606 0.606
Au 0.608 0.143 0.143
Ag 0.000 0.000 0.000
Au 0.857 0.857 0.392
Au 0.114 0.635 0.635

## Properties
Calculated formation energy, eV/atom: 0.02
E, eV for the cell shown: -58.1
D(E_F), states/eV per cell: 4.7

7.
Crystalline CaDy2AgAu4 at its relaxed geometry, computed with GGA-PBE.

Cell: 4.987 4.987 8.653 Å, 73.25 73.25 60.00°
Atoms (fractional coordinates):
Au 0.627 0.627 0.120
Ag 0.500 0.500 0.500
Au 0.121 0.121 0.636
Dy 0.243 0.243 0.272
Dy 0.757 0.757 0.728
Au 0.373 0.373 0.880
Ca 0.000 0.000 0.000
Au 0.879 0.879 0.364

## Properties
Calculated formation energy, eV/atom: -0.70
E, eV for the cell shown: -32.8
D(E_F), states/eV per cell: 4.4

8.
Crystalline CaGaAg2Au5 at its relaxed geometry, computed with GGA-PBE.

Cell: 4.863 5.746 8.170 Å, 110.59 107.32 90.00°
Atoms (fractional coordinates):
Au 0.644 0.882 0.288
Ag 0.190 0.190 0.380
Au 0.356 0.594 0.712
Au 0.000 0.000 0.000
Ag 0.810 0.810 0.620
Ga 0.500 0.000 0.000
Au 0.356 0.118 0.712
Au 0.644 0.406 0.288
Ca 0.000 0.500 0.000

## Properties
Calculated formation energy, eV/atom: -0.14
E, eV for the cell shown: -28.4
D(E_F), states/eV per cell: 2.7

9.
Crystalline CaGa2Ag2Au at its relaxed geometry, computed with GGA-PBE.

Cell: 4.217 4.217 8.765 Å, 103.92 103.92 90.00°
Atoms (fractional coordinates):
Ag 0.750 0.250 0.500
Ca 0.500 0.500 0.000
Ga 0.850 0.850 0.700
Ga 0.150 0.150 0.300
Au 0.000 0.000 0.000
Ag 0.250 0.750 0.500

## Properties
Calculated formation energy, eV/atom: -0.14
E, eV for the cell shown: -17.9
D(E_F), states/eV per cell: 3.6

10.
Crystalline CaGa3AgAu at its relaxed geometry, computed with GGA-PBE.

Cell: 5.904 5.786 7.759 Å, 111.89 90.00 90.00°
Atoms (fractional coordinates):
Ca 0.250 0.684 0.367
Ga 0.000 0.719 0.000
Ag 0.250 0.886 0.773
Au 0.750 0.691 0.382
Ag 0.750 0.114 0.227
Ga 0.250 0.121 0.242
Ga 0.500 0.281 0.000
Ca 0.750 0.316 0.633
Ga 0.750 0.879 0.758
Au 0.250 0.309 0.618
Ga 0.000 0.281 0.000
Ga 0.500 0.719 0.000

## Properties
Calculated formation energy, eV/atom: -0.21
E, eV for the cell shown: -37.0
D(E_F), states/eV per cell: 4.6

11.
Crystalline Ca2GaAgAu6 at its relaxed geometry, computed with GGA-PBE.

Cell: 7.099 7.099 7.099 Å, 60.00 60.00 90.00°
Atoms (fractional coordinates):
Au 0.257 0.257 0.485
Au 0.743 0.743 0.000
Au 0.743 0.743 0.515
Ca 0.750 0.250 0.500
Ca 0.250 0.750 0.500
Au 0.257 0.257 0.000
Ga 0.500 0.500 0.000
Au 0.743 0.257 0.000
Au 0.257 0.743 0.000
Ag 0.000 0.000 0.000

## Properties
Calculated formation energy, eV/atom: -0.16
E, eV for the cell shown: -31.1
D(E_F), states/eV per cell: 3.1

12.
Crystalline Ca2Ga3AgAu4 at its relaxed geometry, computed with GGA-PBE.

Cell: 4.272 4.272 11.661 Å, 90.00 90.00 90.00°
Atoms (fractional coordinates):
Ag 0.500 0.500 0.500
Au 0.500 0.500 0.000
Ca 0.500 0.000 0.247
Au 0.000 0.000 0.000
Ga 0.000 0.500 0.131
Au 0.500 0.000 0.653
Ga 0.500 0.000 0.869
Ga 0.000 0.000 0.500
Au 0.000 0.500 0.347
Ca 0.000 0.500 0.753

## Properties
Calculated formation energy, eV/atom: -0.50
E, eV for the cell shown: -34.0
D(E_F), states/eV per cell: 5.1